{"formula": "Li2ZnNiF8", "functional": "PBE+U", "state": "relaxed", "lattice_angstrom": [[-3.057, 3.057, 3.664], [3.057, -3.057, 3.664], [3.057, 3.057, -3.664]], "species": ["Li", "Li", "Zn", "Ni", "F", "F", "F", "F", "F", "F", "F", "F"], "frac_coords": [[0.000, 0.000, 0.000], [0.750, 0.250, 0.500], [0.500, 0.500, 0.000], [0.250, 0.750, 0.500], [0.144, 0.452, 0.692], [0.211, 0.007, 0.796], [0.211, 0.416, 0.204], [0.548, 0.241, 0.692], [0.548, 0.856, 0.308], [0.584, 0.789, 0.796], [0.759, 0.452, 0.308], [0.993, 0.789, 0.204]], "sg": "I-4m2", "e_tot_ev_per_atom": -3.8931, "magmom_total_mub_per_cell": 1.6, "n_ef_per_ev_fu": 9.49}